## AlTlIr2 (PBE-GGA)

Data for an optimized crystal structure of AlTlIr2.

Structure (extended XYZ):
```
4
Lattice="-0.0885 2.6458 2.3602 2.6242 -2.1955 2.5596 3.3705 1.8102 -1.9029" Properties=species:S:1:pos:R:3 pbc="T T T"
Tl 1.2679 0.2252 2.4599
Ir 0.0000 0.0000 0.0000
Ir 2.9973 -0.1927 0.3283
Al 1.6410 2.2280 0.2286
```

Calculated values
density of states at the Fermi level	1.375	states/eV/f.u.
distance to the lowest polymorph of the same formula	193	meV per atom



## AlTlIr2 (PBE-GGA)

Data for an optimized crystal structure of AlTlIr2.

Structure (extended XYZ):
```
4
Lattice="-2.2877 1.4387 1.0991 -1.7593 -2.1845 -0.8025 1.2137 -3.6706 7.3308" Properties=species:S:1:pos:R:3 pbc="T T T"
Tl 0.5849 -1.7689 3.5327
Ir 1.2039 -3.6408 7.2713
Ir -1.7611 -1.1665 1.7332
Al -1.0404 -3.3462 6.0864
```

Calculated values
density of states at the Fermi level	5.315	states/eV/f.u.
distance to the lowest polymorph of the same formula	353	meV per atom



## AlTl4Ir (PBE-GGA)

Data for an optimized crystal structure of AlTl4Ir.

Structure (extended XYZ):
```
6
Lattice="0.0000 4.3090 4.3090 4.3090 0.0000 4.3090 4.3090 4.3090 0.0000" Properties=species:S:1:pos:R:3 pbc="T T T"
Al 6.4635 6.4635 6.4635
Tl 5.3910 3.2270 5.3910
Tl 3.2270 5.3910 5.3910
Tl 5.3910 5.3910 3.2270
Tl 3.2270 3.2270 3.2270
Ir 0.0000 0.0000 0.0000
```

Calculated values
density of states at the Fermi level	5.509	states/eV/f.u.



## Al2TlIr (PBE-GGA)

Data for an optimized crystal structure of Al2TlIr.

Structure (extended XYZ):
```
4
Lattice="-4.6905 -0.1741 0.3580 0.2091 -4.6799 0.4630 0.2228 0.3138 3.0714" Properties=species:S:1:pos:R:3 pbc="T T T"
Tl 0.2159 -2.1830 1.7672
Ir -2.2339 0.0698 1.7147
Al 0.0000 0.0000 0.0000
Al -2.2407 -2.4270 0.4105
```

Calculated values
density of states at the Fermi level	1.187	states/eV/f.u.



## AlTlIr2 (PBE-GGA)

Data for an optimized crystal structure of AlTlIr2.

Structure (extended XYZ):
```
4
Lattice="-0.0266 0.2055 2.9008 -2.9251 -2.5976 0.1572 3.9905 -4.4722 0.3535" Properties=species:S:1:pos:R:3 pbc="T T T"
Tl 1.9023 -2.1320 0.1685
Ir 3.8110 -4.2710 0.3376
Ir -0.5120 -2.2762 1.6144
Al 1.8232 -4.8934 1.8212
```

Calculated values
density of states at the Fermi level	2.614	states/eV/f.u.
distance to the lowest polymorph of the same formula	257	meV per atom



## Al4TlIr (PBE-GGA)

Data for an optimized crystal structure of Al4TlIr.

Structure (extended XYZ):
```
6
Lattice="-3.6138 1.5536 3.5435 -4.5500 2.1595 -1.6320 -4.5355 -2.6838 0.5063" Properties=species:S:1:pos:R:3 pbc="T T T"
Al -6.5678 1.1589 2.6695
Al -7.0259 -0.9470 1.1601
Al -7.0331 1.4600 0.0974
Al -4.7718 0.3868 0.9085
Tl 0.0000 0.0000 0.0000
Ir -9.5245 0.7720 1.8133
```

Calculated values
density of states at the Fermi level	4.366	states/eV/f.u.



## Al2TlIr (PBE-GGA)

Data for an optimized crystal structure of Al2TlIr.

Structure (extended XYZ):
```
4
Lattice="4.6543 0.0000 0.0000 2.3272 4.0308 0.0000 2.3272 1.3436 3.8002" Properties=species:S:1:pos:R:3 pbc="T T T"
Tl 2.3272 1.3436 0.9501
Ir 4.6543 2.6872 1.9001
Al 0.0000 0.0000 0.0000
Al 6.9815 4.0308 2.8502
```

Calculated values
density of states at the Fermi level	1.144	states/eV/f.u.



## AlTlIr2 (PBE-GGA)

Data for an optimized crystal structure of AlTlIr2.

Structure (extended XYZ):
```
4
Lattice="5.1421 -0.0777 -0.2230 -2.4884 4.7047 0.0604 0.1654 0.9779 2.8075" Properties=species:S:1:pos:R:3 pbc="T T T"
Tl -1.1615 2.8413 1.4340
Ir 0.0000 0.0000 0.0000
Ir 2.6538 0.4501 1.2922
Al 1.3269 2.3135 -0.0813
```

Calculated values
density of states at the Fermi level	2.428	states/eV/f.u.
distance to the lowest polymorph of the same formula	440	meV per atom



## AlTlIr2 (PBE-GGA)

Data for an optimized crystal structure of AlTlIr2.

Structure (extended XYZ):
```
4
Lattice="4.7679 0.0000 0.0000 0.0000 2.9797 0.4573 0.0000 2.2748 5.0446" Properties=species:S:1:pos:R:3 pbc="T T T"
Tl 0.0000 3.3564 2.9689
Ir 0.0000 2.2202 0.4383
Ir 2.3840 0.6006 1.0546
Al 2.3840 4.6841 4.2483
```

Calculated values
density of states at the Fermi level	2.543	states/eV/f.u.
distance to the lowest polymorph of the same formula	322	meV per atom



## Al2TlIr (PBE-GGA)

Data for an optimized crystal structure of Al2TlIr.

Structure (extended XYZ):
```
4
Lattice="-4.6190 -1.2983 -0.7305 0.4969 -4.5821 -1.5203 1.5565 2.1745 4.0501" Properties=species:S:1:pos:R:3 pbc="T T T"
Tl -0.0038 -2.6740 0.7022
Ir -2.5617 -1.0321 1.0971
Al -4.0486 -5.7756 -2.2106
Al -2.1346 -3.0451 -1.1656
```

Calculated values
density of states at the Fermi level	1.758	states/eV/f.u.



## Al2TlIr (PBE-GGA)

Data for an optimized crystal structure of Al2TlIr.

Structure (extended XYZ):
```
8
Lattice="4.3085 0.0000 0.0000 0.0000 4.3085 0.0000 2.1542 2.1542 8.6007" Properties=species:S:1:pos:R:3 pbc="T T T"
Tl 0.0000 0.0000 0.0000
Tl 4.3085 2.1542 4.3003
Ir 2.1542 2.1542 0.0000
Ir 2.1542 4.3085 4.3003
Al 2.9743 1.0771 2.1502
Al 1.3342 3.2314 2.1502
Al 3.2314 3.4885 6.4505
Al 5.3856 5.1285 6.4505
```

Calculated values
density of states at the Fermi level	2.440	states/eV/f.u.



## Al2TlIr2 (PBE-GGA)

Data for an optimized crystal structure of Al2TlIr2.

Structure (extended XYZ):
```
10
Lattice="-3.5400 -3.4773 5.5994 6.3243 -3.5825 1.7735 0.7287 2.1869 1.8188" Properties=species:S:1:pos:R:3 pbc="T T T"
Tl 0.0000 0.0000 0.0000
Tl 1.3921 -3.5299 3.6865
Ir 4.1345 -4.2567 3.4616
Ir 1.1093 -5.2844 5.9093
Ir -1.3502 -2.8030 3.9113
Ir 1.6749 -1.7754 1.4636
Al 3.9185 -1.6917 2.8342
Al 3.5299 -4.2129 6.0212
Al -0.4055 -3.1812 6.3575
Al -0.0169 -0.6600 3.1704
```

Calculated values
density of states at the Fermi level	1.249	states/eV/f.u.
distance to the lowest polymorph of the same formula	0	meV per atom



## AlTlIr2 (PBE-GGA)

Data for an optimized crystal structure of AlTlIr2.

Structure (extended XYZ):
```
4
Lattice="8.9805 -0.0332 -0.0195 8.5033 2.8884 -0.0195 8.5033 1.3887 2.5328" Properties=species:S:1:pos:R:3 pbc="T T T"
Tl 6.4968 1.0610 0.6234
Ir 0.3051 0.0498 0.0293
Ir 12.6884 2.0721 1.2176
Al 19.4903 3.1829 1.8703
```

Calculated values
density of states at the Fermi level	3.917	states/eV/f.u.
distance to the lowest polymorph of the same formula	140	meV per atom



## AlTlIr2 (PBE-GGA)

Data for an optimized crystal structure of AlTlIr2.

Structure (extended XYZ):
```
4
Lattice="5.2134 0.0190 0.0474 4.3320 2.9007 0.0474 1.4175 0.4336 4.4161" Properties=species:S:1:pos:R:3 pbc="T T T"
Tl 5.5074 1.6845 2.5740
Ir 9.6526 2.9524 0.4304
Ir 8.0505 2.4624 3.0664
Al 2.7793 0.8501 0.7904
```

Calculated values
density of states at the Fermi level	3.078	states/eV/f.u.
distance to the lowest polymorph of the same formula	263	meV per atom



## Al2TlIr (PBE-GGA)

Data for an optimized crystal structure of Al2TlIr.

Structure (extended XYZ):
```
4
Lattice="-0.0891 -1.4360 -3.5705 3.1516 -2.6108 0.9714 -2.7840 -2.9007 1.2361" Properties=species:S:1:pos:R:3 pbc="T T T"
Tl -1.4365 -2.1684 -1.1672
Ir 1.5313 -2.0234 -1.2995
Al 0.0000 0.0000 0.0000
Al 0.1838 -2.7557 1.1038
```

Calculated values
density of states at the Fermi level	1.787	states/eV/f.u.



| no. | DFT formation energy (kJ per mole of atoms) |
| --- | --- |
| 1 | 1 |
| 2 | 17 |
| 3 | 86 |
| 4 | 12 |
| 5 | 7 |
| 6 | 27 |
| 7 | 26 |
| 8 | 25 |
| 9 | 13 |
| 10 | 10 |
| 11 | 17 |
| 12 | -42 |
| 13 | -4 |
| 14 | 8 |
| 15 | 17 |